First-principles (PBE-GGA) data for an optimized crystal structure of K3Cd16, as listed in Alexandria.

```
38
Lattice="-6.009 6.731 -2.029 -4.110 -1.199 8.197 7.280 7.950 4.813" Properties=species:S:1:pos:R:3 pbc="T T T"
Cd -3.536 3.465 5.060
Cd -2.654 0.538 4.935
Cd -3.018 6.084 3.561
Cd -1.624 10.339 1.667
Cd 1.865 9.460 8.702
Cd -2.026 11.060 4.709
Cd -2.901 1.086 8.028
Cd 0.179 7.399 7.421
Cd -5.606 2.023 6.948
Cd -5.455 6.468 -0.623
Cd -0.837 7.336 1.819
K -6.978 4.817 5.031
Cd 2.768 11.460 4.033
Cd 0.697 10.017 5.922
Cd 0.664 5.102 10.481
Cd 2.813 6.456 8.604
Cd 0.971 9.371 2.966
Cd -2.684 5.455 0.484
K -0.710 3.371 2.745
Cd -2.002 6.147 9.163
K 4.139 8.665 5.951
Cd 2.616 7.014 11.605
Cd -0.813 2.422 6.273
Cd -1.254 8.101 4.803
Cd -3.809 4.112 8.015
Cd -0.155 8.028 10.498
Cd -4.704 4.022 2.280
Cd -1.214 3.143 9.315
Cd -0.185 12.944 6.047
Cd -1.585 5.381 6.179
Cd -3.861 9.118 3.448
K -4.560 7.457 6.629
K -2.129 10.112 8.236
Cd 1.022 4.364 7.533
Cd -3.502 8.380 0.501
Cd -5.652 7.026 2.378
Cd 0.063 12.396 2.953
K 1.722 6.025 4.353
```

Summary:
As for the total DFT energy (no corrections): -1.042 eV/atom.



First-principles (PBE-GGA) data for an optimized crystal structure of KCd, as listed in Alexandria.

```
4
Lattice="6.907 -0.144 0.065 5.483 4.204 0.065 2.545 0.834 5.314" Properties=species:S:1:pos:R:3 pbc="T T T"
K 7.035 2.305 2.394
Cd 2.784 0.912 4.637
Cd 10.538 3.453 3.875
K 3.742 1.226 0.804
```

Summary:
As for the total DFT energy (no corrections): -1.059 eV/atom.